CsUCl6 | PBE | optimized geometry

Cell and atoms, written as CIF:
```
data_CsUCl6
_chemical_formula_sum 'Cs3 U3 Cl18'
_cell_length_a 7.1301
_cell_length_b 7.1301
_cell_length_c 19.5509
_cell_angle_alpha 90.00
_cell_angle_beta 90.00
_cell_angle_gamma 120.00
_space_group_name_H-M_alt 'R -3 m'
_space_group_IT_number 166
_space_group_name_Hall '-R 3 2"'
loop_
_atom_site_label
_atom_site_type_symbol
_atom_site_fract_x
_atom_site_fract_y
_atom_site_fract_z
Cs1 Cs 0.0000 0.0000 0.0000
U1 U 0.0000 0.0000 0.5000
Cl1 Cl 0.0001 0.5000 0.0916
```

## Properties
E_tot, eV/atom: -4.70
Total magnetic moment, μB/cell: 2.99